La3V5S12: relaxed, PBE.

Cell lengths 13.1776, 13.1776, 13.1776 Å; angles 109.47, 109.47, 109.47 degrees
Last column: magnetic moment on the atom in μB.
Positions (direct):
La 0.7500 0.3750 0.1250  0.06
La 0.8750 0.7500 0.1250  0.06
La 0.3750 0.7500 0.6250  0.06
La 0.2500 0.1250 0.3750  0.06
La 0.8750 0.1250 0.2500  0.06
La 0.3750 0.6250 0.2500  0.06
La 0.6250 0.3750 0.7500  0.06
La 0.1250 0.8750 0.7500  0.06
La 0.7500 0.8750 0.6250  0.06
La 0.6250 0.2500 0.3750  0.06
La 0.1250 0.2500 0.8750  0.06
La 0.2500 0.6250 0.8750  0.06
V 0.1250 0.3750 0.2500  1.61
V 0.0000 0.5000 0.0000  2.12
V 0.0000 0.0000 0.0000  2.12
V 0.3750 0.2500 0.1250  1.61
V 0.5000 0.0000 0.5000  2.12
V 0.5000 0.5000 0.0000  2.12
V 0.1250 0.7500 0.3750  1.61
V 0.7500 0.1250 0.8750  1.61
V 0.7500 0.6250 0.3750  1.61
V 0.3750 0.1250 0.7500  1.61
V 0.6250 0.8750 0.2500  1.61
V 0.5000 0.5000 0.5000  2.12
V 0.5000 0.0000 0.0000  2.12
V 0.0000 0.0000 0.5000  2.12
V 0.2500 0.3750 0.6250  1.61
V 0.2500 0.8750 0.1250  1.61
V 0.0000 0.5000 0.5000  2.12
V 0.8750 0.2500 0.6250  1.61
V 0.6250 0.7500 0.8750  1.61
V 0.8750 0.6250 0.7500  1.61
S 0.7037 0.1159 0.0232  -0.06
S 0.3195 0.5232 0.4073  -0.06
S 0.9768 0.3841 0.2963  -0.06
S 0.5232 0.2037 0.1159  -0.06
S 0.5878 0.7037 0.6805  -0.06
S 0.9768 0.5927 0.1805  -0.06
S 0.3195 0.7963 0.4122  -0.06
S 0.0927 0.9122 0.1159  -0.06
S 0.5927 0.9768 0.6805  -0.06
S 0.7037 0.5878 0.1805  -0.06
S 0.7963 0.4768 0.3841  -0.06
S 0.8195 0.9073 0.0232  -0.06
S 0.1159 0.7037 0.5232  -0.06
S 0.3841 0.4073 0.0878  -0.06
S 0.0878 0.9073 0.3841  -0.06
S 0.4122 0.1159 0.5927  -0.06
S 0.0878 0.1805 0.2037  -0.06
S 0.4768 0.6805 0.0927  -0.06
S 0.8195 0.9122 0.2963  -0.06
S 0.1159 0.4122 0.0927  -0.06
S 0.3841 0.9768 0.7963  -0.06
S 0.5927 0.6159 0.4122  -0.06
S 0.9073 0.8195 0.5232  -0.06
S 0.7963 0.3195 0.9122  -0.06
S 0.4073 0.3841 0.5878  -0.06
S 0.0927 0.1805 0.4768  -0.06
S 0.2037 0.6805 0.0878  -0.06
S 0.1805 0.0878 0.7037  -0.06
S 0.6159 0.0232 0.2037  -0.06
S 0.8841 0.5878 0.9073  -0.06
S 0.5232 0.3195 0.9073  -0.06
S 0.5878 0.8841 0.4073  -0.06
S 0.9122 0.8195 0.7963  -0.06
S 0.9122 0.0927 0.6159  -0.06
S 0.8841 0.2963 0.4768  -0.06
S 0.1805 0.0927 0.9768  -0.06
S 0.6159 0.5927 0.9122  -0.06
S 0.4073 0.0232 0.3195  -0.06
S 0.2963 0.4122 0.8195  -0.06
S 0.2037 0.5232 0.6159  -0.06
S 0.9073 0.0878 0.8841  -0.06
S 0.6805 0.2037 0.5878  -0.06
S 0.4768 0.7963 0.8841  -0.06
S 0.0232 0.4073 0.8195  -0.06
S 0.4122 0.2963 0.3195  -0.06
S 0.0232 0.6159 0.7037  -0.06
S 0.6805 0.4768 0.5927  -0.06
S 0.2963 0.8841 0.9768  -0.06

Values from the calculation:
- Crystal system: cubic
- Formation energy (no corrections): -1.3112 eV/atom


NaH6BrN2: relaxed, PBE.

Cell lengths 6.6504, 6.6504, 6.4540 Å; angles 94.73, 94.73, 70.33 degrees
Positions (direct):
Na 0.1888 0.8112 0.2500
Na 0.8112 0.1888 0.7500
H 0.1336 0.3587 0.2302
H 0.6413 0.8664 0.2698
H 0.8664 0.6413 0.7698
H 0.3587 0.1336 0.7302
H 0.1931 0.4256 0.0109
H 0.5744 0.8069 0.4891
H 0.8069 0.5744 0.9891
H 0.4256 0.1931 0.5109
H 0.3806 0.3516 0.1955
H 0.6484 0.6194 0.3045
H 0.6194 0.6484 0.8045
H 0.3516 0.3806 0.6955
Br 0.8129 0.1871 0.2500
Br 0.1871 0.8129 0.7500
N 0.4378 0.2214 0.6687
N 0.7786 0.5622 0.8313
N 0.5622 0.7786 0.3313
N 0.2214 0.4378 0.1687

Values from the calculation:
- Crystal system: monoclinic
- E_tot: -4.579 eV per atom


CsBaAg2: relaxed, PBE.

Cell lengths 4.1700, 6.0812, 6.0812 Å; angles 90.00, 90.00, 90.00 degrees
Positions (direct):
Cs 0.5000 0.0000 0.0000
Ba 0.5000 0.5000 0.5000
Ag 0.0000 0.0000 0.5000
Ag 0.0000 0.5000 0.0000

Values from the calculation:
- Crystal system: tetragonal
- Formation energy: -22 meV/atom


Tm2MgSe: relaxed, PBE.

Cell lengths 3.7523, 3.7523, 8.9969 Å; angles 77.96, 77.96, 60.00 degrees
Positions (direct):
Tm 0.0683 0.0683 0.7949
Tm 0.2648 0.2648 0.2057
Mg 0.4997 0.4997 0.5009
Se 0.6672 0.6672 0.9984

Values from the calculation:
- Crystal system: trigonal
- Formation energy (no corrections): -0.7415 eV/atom